(1)
Density functional theory data (meta-GGA SCAN) for CaEuO2 at its PBEsol-relaxed geometry.

```
CaEuO2
1.0
1.724 0.995 5.673
-1.724 0.995 5.673
0.000 -1.991 5.673
Ca Eu O
1 1 2
direct
0.000 0.000 0.000
0.500 0.500 0.500
0.253 0.253 0.253
0.747 0.747 0.747
```

Summary:
* M_tot: 7.00 μB per cell
* energy: -22.07 eV/atom

(2)
Density functional theory data (meta-GGA SCAN) for CaF3 at its PBEsol-relaxed geometry.

```
CaF3
1.0
4.836 0.000 0.000
-2.418 4.188 0.000
0.000 0.000 4.413
Ca F
2 6
direct
0.333 0.667 0.250
0.667 0.333 0.750
0.175 0.351 0.750
0.175 0.825 0.750
0.351 0.175 0.250
0.649 0.825 0.750
0.825 0.175 0.250
0.825 0.649 0.250
```

Summary:
* M_tot: 2.00 μB per cell
* energy: -7.97 eV/atom